Below is Sr4Ga5Ge6 after structural relaxation, with properties calculated at the GGA-PBE level.

Summary:
Volume = 24.66 A^3/atom
Energy of formation from the pure elements = -0.40 eV/atom

abc: 4.460 19.945 16.633
angles: 90.00 90.00 90.00
Space group Cmc2_1 (No. 36)
Asymmetric unit:
Sr (0.000, 0.013, 0.000) (multiplicity 4)
Sr (0.000, 0.031, 0.259) (multiplicity 4)
Sr (0.000, 0.170, 0.805) (multiplicity 4)
Sr (0.000, 0.180, 0.445) (multiplicity 4)
Ga (0.000, 0.147, 0.127) (multiplicity 4)
Ga (0.000, 0.297, 0.124) (multiplicity 4)
Ga (0.000, 0.350, 0.769) (multiplicity 4)
Ga (0.000, 0.360, 0.480) (multiplicity 4)
Ga (0.000, 0.434, 0.182) (multiplicity 4)
Ge (0.000, 0.118, 0.618) (multiplicity 4)
Ge (0.000, 0.211, 0.994) (multiplicity 4)
Ge (0.000, 0.220, 0.255) (multiplicity 4)
Ge (0.000, 0.428, 0.628) (multiplicity 4)
Ge (0.000, 0.432, 0.895) (multiplicity 4)
Ge (0.000, 0.445, 0.353) (multiplicity 4)

***

Below is Mg3P after structural relaxation, with properties calculated at the GGA-PBE level.

Summary:
Volume = 23.00 A^3/atom
Energy of formation from the pure elements = -0.23 eV/atom

abc: 3.722 3.724 7.140
angles: 105.08 105.00 90.23
Space group P-1 (No. 2)
Asymmetric unit:
Mg (0.000, 0.000, 0.000) (multiplicity 1)
Mg (0.311, 0.313, 0.626) (multiplicity 2)
P (0.500, 0.500, 0.000) (multiplicity 1)

***

Below is InSiSbI2 after structural relaxation, with properties calculated at the GGA-PBE level.

Summary:
Formation energy without anion corrections = 0.24 eV per atom
Energy above the most stable polymorph in this dataset = 0.000 eV/atom
Volume = 34.42 A^3/atom

abc: 5.617 5.617 5.455
angles: 90.00 90.00 90.00
Space group P4/mmm (No. 123)
Asymmetric unit:
In (0.000, 0.000, 0.000) (multiplicity 1)
Si (0.500, 0.500, 0.500) (multiplicity 1)
Sb (0.500, 0.500, 0.000) (multiplicity 1)
I (0.000, 0.500, 0.500) (multiplicity 2)

***

Below is TlCuRe2 after structural relaxation, with properties calculated at the GGA-PBE level.

Summary:
Energy above the most stable polymorph in this dataset = 0.197 eV/atom
Volume = 16.96 A^3/atom
Energy of formation from the pure elements = 0.65 eV/atom

abc: 2.997 4.769 9.494
angles: 90.00 90.00 90.00
Space group Cmm2 (No. 35)
Asymmetric unit:
Tl (0.000, 0.000, 0.000) (multiplicity 2)
Cu (0.000, 0.500, 0.736) (multiplicity 2)
Re (0.000, 0.000, 0.507) (multiplicity 2)
Re (0.000, 0.500, 0.285) (multiplicity 2)

***

Below is Cs2TbMnSe4 after structural relaxation, with properties calculated at the GGA-PBE level.

Summary:
Formation energy without anion corrections = -1.04 eV per atom
Volume = 31.58 A^3/atom

abc: 8.773 8.810 13.073
angles: 90.00 90.00 90.00
Space group Imma (No. 74)
Asymmetric unit:
Cs (0.000, 0.000, 0.000) (multiplicity 4)
Cs (0.250, 0.250, 0.250) (multiplicity 4)
Tb (0.250, 0.250, 0.750) (multiplicity 4)
Mn (0.000, 0.000, 0.500) (multiplicity 4)
Se (0.000, 0.041, 0.734) (multiplicity 8)
Se (0.180, 0.250, 0.517) (multiplicity 8)

***

Below is DyEr2Sb after structural relaxation, with properties calculated at the GGA-PBE level.

Summary:
Formation energy without anion corrections = -0.46 eV per atom
Energy above the most stable polymorph in this dataset = 0.087 eV/atom
Volume = 28.20 A^3/atom

abc: 3.982 3.982 7.113
angles: 90.00 90.00 90.00
Space group P4/mmm (No. 123)
Asymmetric unit:
Dy (0.000, 0.000, 0.000) (multiplicity 1)
Er (0.500, 0.500, 0.274) (multiplicity 2)
Sb (0.000, 0.000, 0.500) (multiplicity 1)

***

Below is Ga3PdPt5 after structural relaxation, with properties calculated at the GGA-PBE level.

Summary:
Volume = 15.87 A^3/atom
Energy of formation from the pure elements = -0.38 eV/atom

abc: 2.837 13.548 14.867
angles: 90.00 90.00 90.00
Space group Cmcm (No. 63)
Asymmetric unit:
Ga (0.000, 0.125, 0.096) (multiplicity 8)
Ga (0.000, 0.306, 0.250) (multiplicity 4)
Pd (0.000, 0.369, 0.750) (multiplicity 4)
Pt (0.000, 0.051, 0.660) (multiplicity 8)
Pt (0.000, 0.303, 0.065) (multiplicity 8)
Pt (0.000, 0.500, 0.000) (multiplicity 4)

***

Below is La2CdPSe after structural relaxation, with properties calculated at the GGA-PBE level.

Summary:
Formation energy without anion corrections = -0.39 eV per atom
Volume = 31.74 A^3/atom

abc: 5.658 5.658 4.957
angles: 90.00 90.00 90.00
Space group P4/mmm (No. 123)
Asymmetric unit:
La (0.000, 0.500, 0.000) (multiplicity 2)
Cd (0.000, 0.000, 0.500) (multiplicity 1)
P (0.500, 0.500, 0.500) (multiplicity 1)
Se (0.500, 0.500, 0.000) (multiplicity 1)